1.
DFT (PBE-GGA) results for Tm3ReTc8 after structural relaxation.

Cell lengths 9.136, 9.136, 9.136 Å; angles 33.63, 33.63, 33.63 degrees
Element x y z (fractional)
Tm  0.000  0.000  0.000
Tm  0.127  0.127  0.127
Tm  0.503  0.503  0.503
Re  0.623  0.623  0.623
Tc  0.057  0.563  0.563
Tc  0.065  0.065  0.572
Tc  0.065  0.572  0.065
Tc  0.315  0.315  0.315
Tc  0.563  0.057  0.563
Tc  0.563  0.563  0.057
Tc  0.572  0.065  0.065
Tc  0.814  0.814  0.814

Computed properties:
calculated volume = 208.3 Å³ per cell
Fermi-level density of states = 17.7 states/eV/f.u.
E_tot = -9.09 eV/atom


2.
DFT (PBE-GGA) results for Li8Zn5Ag after structural relaxation.

Cell lengths 6.732, 6.732, 6.732 Å; angles 110.42, 110.42, 107.59 degrees
Element x y z (fractional)
Li  0.192  0.397  0.584
Li  0.334  0.229  0.230
Li  0.392  0.808  0.205
Li  0.603  0.187  0.795
Li  0.771  0.001  0.105
Li  0.813  0.608  0.416
Li  0.896  0.666  0.895
Li  0.999  0.104  0.770
Zn  0.058  0.471  0.201
Zn  0.143  0.942  0.413
Zn  0.270  0.857  0.799
Zn  0.500  0.500  0.000
Zn  0.529  0.730  0.587
Ag  0.750  0.250  0.500

Computed properties:
polymorph energy (0 for the lowest one) = 0.06 eV/f.u.
calculated volume = 234.6 Å³ per cell
Fermi-level density of states = 5.4 states/eV/f.u.
E_tot = -1.81 eV/atom


3.
DFT (PBE-GGA) results for La8SiIr3Br3 after structural relaxation.

Cell lengths 8.564, 8.564, 8.989 Å; angles 118.46, 118.46, 59.97 degrees
Element x y z (fractional)
La  0.222  0.743  0.707
La  0.236  0.236  0.706
La  0.257  0.778  0.293
La  0.258  0.258  0.293
La  0.742  0.742  0.707
La  0.743  0.222  0.707
La  0.764  0.764  0.294
La  0.778  0.257  0.293
Si  0.500  0.500  0.500
Ir  0.000  0.000  0.500
Ir  0.000  0.500  0.500
Ir  0.500  0.000  0.500
Br  0.000  0.500  0.000
Br  0.500  0.000  0.000
Br  0.500  0.500  0.000

Computed properties:
calculated volume = 476.6 Å³ per cell
Fermi-level density of states = 13.8 states/eV/f.u.
E_tot = -6.13 eV/atom


4.
DFT (PBE-GGA) results for PrGaS3 after structural relaxation.

Cell lengths 7.589, 7.589, 4.267 Å; angles 90.93, 90.93, 70.88 degrees
Element x y z (fractional)
Pr  0.233  0.233  0.253
Pr  0.767  0.767  0.747
Ga  0.312  0.688  0.500
Ga  0.688  0.312  0.500
S  0.056  0.662  0.253
S  0.338  0.944  0.747
S  0.399  0.399  0.752
S  0.601  0.601  0.248
S  0.662  0.056  0.253
S  0.944  0.338  0.747

Computed properties:
polymorph energy (0 for the lowest one) = 0.10 eV/f.u.
calculated volume = 232.1 Å³ per cell
Fermi-level density of states = 0.0 states/eV/f.u.
E_tot = -5.36 eV/atom


5.
DFT (PBE-GGA) results for Li3Al5F12 after structural relaxation.

Cell lengths 11.241, 11.241, 11.241 Å; angles 109.47, 109.47, 109.47 degrees
Element x y z (fractional)
Li  0.125  0.250  0.375
Li  0.125  0.375  0.750
Li  0.250  0.375  0.125
Li  0.250  0.875  0.625
Li  0.375  0.125  0.250
Li  0.375  0.750  0.125
Li  0.625  0.250  0.875
Li  0.625  0.875  0.750
Li  0.750  0.125  0.375
Li  0.750  0.625  0.875
Li  0.875  0.625  0.250
Li  0.875  0.750  0.625
Al  0.000  0.000  0.000
Al  0.000  0.000  0.500
Al  0.000  0.500  0.000
Al  0.000  0.500  0.500
Al  0.125  0.750  0.875
Al  0.125  0.875  0.250
Al  0.250  0.125  0.875
Al  0.250  0.625  0.375
Al  0.375  0.250  0.625
Al  0.375  0.625  0.750
Al  0.500  0.000  0.000
Al  0.500  0.000  0.500
Al  0.500  0.500  0.000
Al  0.500  0.500  0.500
Al  0.625  0.375  0.250
Al  0.625  0.750  0.375
Al  0.750  0.375  0.625
Al  0.750  0.875  0.125
Al  0.875  0.125  0.750
Al  0.875  0.250  0.125
F  0.008  0.116  0.167
F  0.008  0.392  0.841
F  0.050  0.167  0.659
F  0.050  0.384  0.392
F  0.108  0.116  0.450
F  0.108  0.492  0.659
F  0.116  0.167  0.008
F  0.116  0.450  0.108
F  0.159  0.667  0.550
F  0.159  0.992  0.608
F  0.167  0.008  0.116
F  0.167  0.659  0.050
F  0.333  0.384  0.492
F  0.333  0.450  0.841
F  0.341  0.892  0.508
F  0.341  0.950  0.833
F  0.384  0.392  0.050
F  0.384  0.492  0.333
F  0.392  0.050  0.384
F  0.392  0.841  0.008
F  0.450  0.108  0.116
F  0.450  0.841  0.333
F  0.492  0.333  0.384
F  0.492  0.659  0.108
F  0.508  0.341  0.892
F  0.508  0.667  0.616
F  0.550  0.159  0.667
F  0.550  0.892  0.884
F  0.608  0.159  0.992
F  0.608  0.950  0.616
F  0.616  0.508  0.667
F  0.616  0.608  0.950
F  0.659  0.050  0.167
F  0.659  0.108  0.492
F  0.667  0.550  0.159
F  0.667  0.616  0.508
F  0.833  0.341  0.950
F  0.833  0.992  0.884
F  0.841  0.008  0.392
F  0.841  0.333  0.450
F  0.884  0.550  0.892
F  0.884  0.833  0.992
F  0.892  0.508  0.341
F  0.892  0.884  0.550
F  0.950  0.616  0.608
F  0.950  0.833  0.341
F  0.992  0.608  0.159
F  0.992  0.884  0.833

Computed properties:
calculated volume = 1093.5 Å³ per cell
Fermi-level density of states = 0.0 states/eV/f.u.
E_tot = -5.00 eV/atom


6.
DFT (PBE-GGA) results for Cs4KRb10 after structural relaxation.

Cell lengths 12.734, 12.734, 12.734 Å; angles 111.96, 111.96, 104.60 degrees
Element x y z (fractional)
Cs  0.044  0.275  0.319
Cs  0.275  0.956  0.230
Cs  0.725  0.044  0.770
Cs  0.956  0.725  0.681
K  0.500  0.500  0.000
Rb  0.120  0.459  0.909
Rb  0.211  0.120  0.661
Rb  0.250  0.750  0.500
Rb  0.450  0.789  0.909
Rb  0.459  0.550  0.339
Rb  0.541  0.450  0.661
Rb  0.550  0.211  0.091
Rb  0.750  0.250  0.500
Rb  0.789  0.880  0.339
Rb  0.880  0.541  0.091

Computed properties:
calculated volume = 1581.1 Å³ per cell
Fermi-level density of states = 16.1 states/eV/f.u.
E_tot = -0.88 eV/atom


7.
DFT (PBE-GGA) results for TlIn2Co after structural relaxation.

Cell lengths 5.028, 5.028, 5.028 Å; angles 60.00, 60.00, 60.00 degrees
Element x y z (fractional)
Tl  0.000  0.000  0.000
In  0.250  0.250  0.250
In  0.750  0.750  0.750
Co  0.500  0.500  0.500

Computed properties:
polymorph energy (0 for the lowest one) = 1.50 eV/f.u.
calculated volume = 89.9 Å³ per cell
Fermi-level density of states = 8.1 states/eV/f.u.
E_tot = -3.21 eV/atom


8.
DFT (PBE-GGA) results for Pm5Sb2Se4 after structural relaxation.

Cell lengths 19.937, 19.937, 19.937 Å; angles 13.31, 13.31, 13.31 degrees
Element x y z (fractional)
Pm  0.000  0.000  0.000
Pm  0.132  0.132  0.132
Pm  0.274  0.274  0.274
Pm  0.726  0.726  0.726
Pm  0.868  0.868  0.868
Sb  0.364  0.364  0.364
Sb  0.636  0.636  0.636
Se  0.085  0.085  0.085
Se  0.188  0.188  0.188
Se  0.812  0.812  0.812
Se  0.915  0.915  0.915

Computed properties:
calculated volume = 365.6 Å³ per cell
Fermi-level density of states = 3.3 states/eV/f.u.
E_tot = -5.65 eV/atom